VASP calculation (PBE-GGA) on crystalline PmThRe at its relaxed geometry.

## Properties
ΔE to the lowest computed polymorph, meV per atom: 0
Crystal system: monoclinic

Cell lengths 3.940, 6.112, 8.303 Å; angles 119.55, 90.00, 108.81 degrees
Atoms (fractional coordinates):
Th1 0.088 0.177 0.880
Th2 0.912 0.823 0.120
Pm1 0.333 0.667 0.423
Pm2 0.667 0.333 0.577
Re1 0.367 0.734 0.833
Re2 0.633 0.266 0.167